No. 1
Entry from the Alexandria database: an optimized crystal structure of Sc2GaPt4 (GGA-PBE).

abc: 4.607 4.607 7.566
angles: 72.28 72.28 90.00
Element x y z (fractional)
Sc1 0.366 0.366 0.269
Sc2 0.634 0.634 0.731
Ga1 0.000 0.000 0.000
Pt1 0.184 0.184 0.632
Pt2 0.816 0.816 0.368
Pt3 0.000 0.500 0.000
Pt4 0.500 0.000 0.000

Computed properties:
The total energy is -42.2 eV/cell. As for the spin magnetization: 0.00 μB per formula unit. As for the density of states at the Fermi level: 0.370 states/eV per atom.



No. 2
Entry from the Alexandria database: an optimized crystal structure of Sc5GaPt4 (GGA-PBE).

abc: 3.285 3.285 16.816
angles: 90.00 90.00 90.00
Element x y z (fractional)
Sc1 0.500 0.500 0.103
Sc2 0.500 0.500 0.300
Sc3 0.500 0.500 0.500
Sc4 0.500 0.500 0.700
Sc5 0.500 0.500 0.897
Ga1 0.000 0.000 0.000
Pt1 0.000 0.000 0.199
Pt2 0.000 0.000 0.399
Pt3 0.000 0.000 0.601
Pt4 0.000 0.000 0.801

Computed properties:
The total energy is -70.0 eV/cell. As for the spin magnetization: 0.00 μB per formula unit. As for the density of states at the Fermi level: 0.621 states/eV per atom.



No. 3
Entry from the Alexandria database: an optimized crystal structure of Sc2Ga8Pt (GGA-PBE).

abc: 4.224 4.224 10.878
angles: 90.00 90.00 90.00
Element x y z (fractional)
Sc1 0.000 0.000 0.315
Sc2 0.000 0.000 0.685
Ga1 0.000 0.500 0.500
Ga2 0.500 0.000 0.500
Ga3 0.500 0.500 0.310
Ga4 0.500 0.500 0.690
Ga5 0.000 0.500 0.134
Ga6 0.500 0.000 0.134
Ga7 0.000 0.500 0.866
Ga8 0.500 0.000 0.866
Pt1 0.000 0.000 0.000

Computed properties:
The total energy is -48.5 eV/cell. As for the spin magnetization: 0.00 μB per formula unit. As for the density of states at the Fermi level: 0.482 states/eV per atom.



What did the third record say?
Entry from the Alexandria database: an optimized crystal structure of Sc2Ga8Pt (GGA-PBE).

abc: 4.224 4.224 10.878
angles: 90.00 90.00 90.00
Element x y z (fractional)
Sc1 0.000 0.000 0.315
Sc2 0.000 0.000 0.685
Ga1 0.000 0.500 0.500
Ga2 0.500 0.000 0.500
Ga3 0.500 0.500 0.310
Ga4 0.500 0.500 0.690
Ga5 0.000 0.500 0.134
Ga6 0.500 0.000 0.134
Ga7 0.000 0.500 0.866
Ga8 0.500 0.000 0.866
Pt1 0.000 0.000 0.000

Computed properties:
The total energy is -48.5 eV/cell. As for the spin magnetization: 0.00 μB per formula unit. As for the density of states at the Fermi level: 0.482 states/eV per atom.